[1]
KBa3Ti | PBE | relaxed

Cell lengths 6.4558, 6.4558, 6.4558 Å; angles 90.00, 90.00, 90.00 degrees
Last column: nearest neighbours and their distance in Å.
Atoms (fractional coordinates):
K 0.0000 0.0000 0.0000  6 Ba 3.23
Ba 0.0000 0.0000 0.5000  2 K 3.23
Ba 0.0000 0.5000 0.0000  2 K 3.23
Ba 0.5000 0.0000 0.0000  2 K 3.23
Ti 0.5000 0.5000 0.5000  12 Ba 4.56

Values from the calculation:
E above lowest polymorph = 785.3 meV per atom
Calculated formation energy = 127 kJ per mole of atoms
VASP energy = -1.635 eV per atom
Mass density = 3.079 Mg/m³

[2]
BaFeW3 | PBE | relaxed

Cell lengths 4.7061, 4.7061, 4.7061 Å; angles 90.00, 90.00, 90.00 degrees
Last column: nearest neighbours and their distance in Å.
Atoms (fractional coordinates):
Ba 0.0000 0.0000 0.0000  12 W 3.33
Fe 0.5000 0.5000 0.5000  6 W 2.35
W 0.0000 0.5000 0.5000  2 Fe 2.35
W 0.5000 0.0000 0.5000  2 Fe 2.35
W 0.5000 0.5000 0.0000  2 Fe 2.35

Values from the calculation:
E above lowest polymorph = 0.0 meV per atom
Calculated formation energy = 151 kJ per mole of atoms
VASP energy = -8.285 eV per atom
Mass density = 11.864 Mg/m³

[3]
Gd2Be2SiO7 | PBE | relaxed

Cell lengths 7.4080, 7.4080, 4.8398 Å; angles 90.00, 90.00, 90.00 degrees
Last column: nearest neighbours and their distance in Å.
Atoms (fractional coordinates):
Gd 0.1596 0.3404 0.0065  6 O 2.31-2.44
Gd 0.3404 0.8404 0.9935  6 O 2.31-2.44
Gd 0.6596 0.1596 0.9935  6 O 2.31-2.44
Gd 0.8404 0.6596 0.0065  6 O 2.31-2.44
Be 0.1363 0.6363 0.5391  4 O 1.58-1.72
Be 0.3637 0.1363 0.4609  4 O 1.58-1.72
Be 0.6363 0.8637 0.4609  4 O 1.58-1.72
Be 0.8637 0.3637 0.5391  4 O 1.58-1.72
Si 0.0000 0.0000 0.5000  4 O 1.65
Si 0.5000 0.5000 0.5000  4 O 1.65
O 0.0000 0.5000 0.6772  2 Be 1.58
O 0.0801 0.8365 0.6954  1 Si 1.65, 1 Be 1.72
O 0.1412 0.6412 0.2099  1 Be 1.59
O 0.1635 0.0801 0.3046  1 Si 1.65, 1 Be 1.72
O 0.3365 0.5801 0.6954  1 Si 1.65, 1 Be 1.72
O 0.3588 0.1412 0.7901  1 Be 1.59
O 0.4199 0.3365 0.3046  1 Si 1.65, 1 Be 1.72
O 0.5000 0.0000 0.3228  2 Be 1.58
O 0.5801 0.6635 0.3046  1 Si 1.65, 1 Be 1.72
O 0.6412 0.8588 0.7901  1 Be 1.59
O 0.6635 0.4199 0.6954  1 Si 1.65, 1 Be 1.72
O 0.8365 0.9199 0.3046  1 Si 1.65, 1 Be 1.72
O 0.8588 0.3588 0.2099  1 Be 1.59
O 0.9199 0.1635 0.6954  1 Si 1.65, 1 Be 1.72

Values from the calculation:
Energy relative to the elements, uncorrected = -3.1382 eV/atom
VASP energy = -9.450 eV per atom
Mass density = 5.909 Mg/m³

[4]
Pr2Cu12Ni3Pt | PBE | relaxed

Cell lengths 10.0101, 10.0101, 10.0101 Å; angles 34.37, 34.37, 34.37 degrees
Last column: nearest neighbours and their distance in Å.
Atoms (fractional coordinates):
Pr 0.1444 0.1444 0.1444  12 Cu 3.09-3.31
Pr 0.8556 0.8556 0.8556  12 Cu 3.09-3.31
Cu 0.0860 0.0860 0.6896  2 Ni 2.31, 4 Cu 2.34-2.40
Cu 0.0860 0.6896 0.0860  2 Ni 2.31, 4 Cu 2.34-2.40
Cu 0.1356 0.5722 0.5722  4 Cu 2.40-2.58, 1 Pt 2.55, 1 Ni 2.64
Cu 0.3104 0.9140 0.9140  2 Ni 2.31, 4 Cu 2.34-2.40
Cu 0.4278 0.4278 0.8644  4 Cu 2.40-2.58, 1 Pt 2.55, 1 Ni 2.64
Cu 0.4278 0.8644 0.4278  4 Cu 2.40-2.58, 1 Pt 2.55, 1 Ni 2.64
Cu 0.5722 0.1356 0.5722  4 Cu 2.40-2.58, 1 Pt 2.55, 1 Ni 2.64
Cu 0.5722 0.5722 0.1356  4 Cu 2.40-2.58, 1 Pt 2.55, 1 Ni 2.64
Cu 0.6896 0.0860 0.0860  2 Ni 2.31, 4 Cu 2.34-2.40
Cu 0.8644 0.4278 0.4278  4 Cu 2.40-2.58, 1 Pt 2.55, 1 Ni 2.64
Cu 0.9140 0.3104 0.9140  2 Ni 2.31, 4 Cu 2.34-2.40
Cu 0.9140 0.9140 0.3104  2 Ni 2.31, 4 Cu 2.34-2.40
Ni 0.0000 0.5000 0.5000  4 Cu 2.31
Ni 0.5000 0.0000 0.5000  4 Cu 2.31
Ni 0.5000 0.5000 0.0000  4 Cu 2.31
Pt 0.5000 0.5000 0.5000  6 Cu 2.55

Values from the calculation:
Calculated formation energy = 18 kJ per mole of atoms
VASP energy = -4.375 eV per atom
Mass density = 8.242 Mg/m³

[5]
NbTcNi | PBE | relaxed

Cell lengths 4.5259, 4.5259, 5.3378 Å; angles 98.98, 98.98, 54.84 degrees
Last column: nearest neighbours and their distance in Å.
Atoms (fractional coordinates):
Nb 0.0000 0.0000 0.0000  6 Tc 2.63-2.91, 4 Ni 2.65-2.84
Nb 0.7081 0.7081 0.3808  5 Ni 2.56-2.74, 5 Tc 2.68-2.78
Tc 0.3624 0.3624 0.1946  4 Ni 2.62-2.87, 6 Nb 2.65-2.91
Tc 0.6655 0.6655 0.8678  3 Ni 2.59-2.82, 5 Nb 2.63-2.70
Ni 0.0298 0.0298 0.5127  3 Ni 2.54-2.79, 5 Nb 2.56-2.71
Ni 0.3460 0.3460 0.6801  3 Ni 2.54-2.79, 5 Tc 2.59-2.82, 4 Nb 2.74-2.84

Values from the calculation:
E above lowest polymorph = 52.8 meV per atom
Calculated formation energy = -10 kJ per mole of atoms
VASP energy = -8.838 eV per atom
Mass density = 9.420 Mg/m³

[6]
TlCuBi2 | PBE | relaxed

Cell lengths 8.0285, 8.0285, 8.0285 Å; angles 29.97, 29.97, 29.97 degrees
Last column: nearest neighbours and their distance in Å.
Atoms (fractional coordinates):
Tl 0.0000 0.0000 0.0000  6 Bi 3.45
Cu 0.5000 0.5000 0.5000  6 Bi 2.75
Bi 0.2253 0.2253 0.2253  3 Cu 2.75
Bi 0.7747 0.7747 0.7747  3 Cu 2.75

Values from the calculation:
Calculated formation energy = 11 kJ per mole of atoms
VASP energy = -3.443 eV per atom
Mass density = 9.955 Mg/m³

[7]
Tb8As3Se3S | PBE | relaxed

Cell lengths 8.1449, 8.1449, 8.1449 Å; angles 60.15, 60.15, 60.15 degrees
Last column: nearest neighbours and their distance in Å.
Atoms (fractional coordinates):
Tb 0.2379 0.7566 0.7566  1 S 2.81, 2 As 2.85, 2 Se 2.92
Tb 0.2434 0.2434 0.7621  1 S 2.81, 2 As 2.85, 2 Se 2.92
Tb 0.2434 0.7621 0.2434  1 S 2.81, 2 As 2.85, 2 Se 2.92
Tb 0.2462 0.2462 0.2462  3 As 2.84, 3 Se 2.93
Tb 0.7538 0.7538 0.7538  3 As 2.84, 3 Se 2.93
Tb 0.7566 0.2379 0.7566  1 S 2.81, 2 As 2.85, 2 Se 2.92
Tb 0.7566 0.7566 0.2379  1 S 2.81, 2 As 2.85, 2 Se 2.92
Tb 0.7621 0.2434 0.2434  1 S 2.81, 2 As 2.85, 2 Se 2.92
As 0.0000 0.0000 0.5000  6 Tb 2.84-2.85
As 0.0000 0.5000 0.0000  6 Tb 2.84-2.85
As 0.5000 0.0000 0.0000  6 Tb 2.84-2.85
Se 0.0000 0.5000 0.5000  6 Tb 2.92-2.93
Se 0.5000 0.0000 0.5000  6 Tb 2.92-2.93
Se 0.5000 0.5000 0.0000  6 Tb 2.92-2.93
S 0.0000 0.0000 0.0000  6 Tb 2.81

Values from the calculation:
Energy relative to the elements, uncorrected = -1.6087 eV/atom
VASP energy = -5.980 eV per atom
Mass density = 7.645 Mg/m³

[8]
SbSI2Cl | PBE | relaxed

Cell lengths 5.3932, 5.3932, 5.5930 Å; angles 90.00, 90.00, 90.00 degrees
Last column: nearest neighbours and their distance in Å.
Atoms (fractional coordinates):
Sb 0.0000 0.0000 0.0000  2 S 2.80
S 0.0000 0.0000 0.5000  4 I 2.70, 2 Sb 2.80
I 0.0000 0.5000 0.5000  2 S 2.70
I 0.5000 0.0000 0.5000  2 S 2.70
Cl 0.5000 0.5000 0.0000  4 Sb 3.81, 8 I 3.88

Values from the calculation:
E above lowest polymorph = 0.0 meV per atom
Energy relative to the elements, uncorrected = 0.4360 eV/atom
VASP energy = -2.203 eV per atom
Mass density = 4.523 Mg/m³

[9]
BeHg3Mo | PBE | relaxed

Cell lengths 5.5185, 5.5185, 5.5185 Å; angles 90.00, 90.00, 90.00 degrees
Last column: nearest neighbours and their distance in Å.
Atoms (fractional coordinates):
Be 0.0000 0.0000 0.0000  12 Hg 3.90
Hg 0.0000 0.5000 0.5000  2 Mo 2.76
Hg 0.5000 0.0000 0.5000  2 Mo 2.76
Hg 0.5000 0.5000 0.0000  2 Mo 2.76
Mo 0.5000 0.5000 0.5000  6 Hg 2.76

Values from the calculation:
E above lowest polymorph = 422.6 meV per atom
Calculated formation energy = 131 kJ per mole of atoms
VASP energy = -1.731 eV per atom
Mass density = 6.983 Mg/m³

[10]
CaAcTb | PBE | relaxed

Cell lengths 3.9286, 4.9721, 12.0838 Å; angles 90.00, 90.00, 90.00 degrees
Last column: nearest neighbours and their distance in Å.
Atoms (fractional coordinates):
Ca 0.2500 0.2500 0.0846  6 Ca 3.77-3.93, 4 Ac 3.86, 1 Tb 4.20
Ca 0.7500 0.7500 0.9154  6 Ca 3.77-3.93, 4 Ac 3.86, 1 Tb 4.20
Ac 0.2500 0.2500 0.7328  5 Tb 3.63-3.75, 4 Ca 3.86, 2 Ac 3.93
Ac 0.7500 0.7500 0.2672  5 Tb 3.63-3.75, 4 Ca 3.86, 2 Ac 3.93
Tb 0.2500 0.2500 0.4325  6 Tb 3.56-3.93, 5 Ac 3.63-3.75
Tb 0.7500 0.7500 0.5675  6 Tb 3.56-3.93, 5 Ac 3.63-3.75

Values from the calculation:
E above lowest polymorph = 8.0 meV per atom
Calculated formation energy = 6 kJ per mole of atoms
VASP energy = -3.522 eV per atom
Mass density = 5.994 Mg/m³

[11]
Li2AlSe | PBE | relaxed

Cell lengths 4.1301, 4.1301, 5.9028 Å; angles 102.79, 102.79, 53.90 degrees
Last column: nearest neighbours and their distance in Å.
Atoms (fractional coordinates):
Li 0.2198 0.2198 0.1729  3 Se 2.52, 1 Al 2.81
Li 0.7802 0.7802 0.8271  3 Se 2.52, 1 Al 2.81
Al 0.0000 0.0000 0.5000  6 Li 2.81-3.08
Se 0.5000 0.5000 0.0000  6 Li 2.52

Values from the calculation:
E above lowest polymorph = 121.5 meV per atom
Energy relative to the elements, uncorrected = -0.4079 eV/atom
VASP energy = -3.172 eV per atom
Mass density = 2.525 Mg/m³